# 1
# BeTcPb2N

A PBEsol-optimized structure of BeTcPb2N (SCAN, Alexandria).

abc: 2.990 5.361 5.361
angles: 90.00 90.00 90.00
Site moments in Bohr magnetons follow the coordinates.
Sites, in units of the cell vectors:
1 Be 0.000 0.000 0.000  0.01
2 Pb 0.000 0.500 0.000  -0.04
3 Pb 0.000 0.000 0.500  -0.04
4 N 0.500 0.000 0.000  -0.04
5 Tc 0.500 0.500 0.500  2.24

## Properties
M_tot	0.424	μB per atom
formation energy without anion corrections	0.56	eV per atom
symmetry	No. 123


# 2
# Be2PdN

A PBEsol-optimized structure of Be2PdN (SCAN, Alexandria).

abc: 4.918 4.889 4.918
angles: 59.80 90.00 120.20
Sites, in units of the cell vectors:
1 Pd 0.750 0.500 0.750
2 Pd 0.000 0.000 0.000
3 Be 0.375 0.250 0.255
4 Be 0.495 0.750 0.375
5 Be 0.875 0.250 0.495
6 Be 0.255 0.750 0.875
7 N 0.250 0.500 0.250
8 N 0.500 0.000 0.500

## Properties
M_tot	0.000	μB per atom
formation energy without anion corrections	-0.48	eV per atom
symmetry	No. 122